Ac2NbCrO8: optimized geometry, PBE with a Hubbard U. Values from VASP.

```
&SYSTEM
  ibrav = 0, nat = 12, ntyp = 4
/
ATOMIC_SPECIES
O 16.00 O.upf
Ac 227.00 Ac.upf
Nb 92.91 Nb.upf
Cr 52.00 Cr.upf
ATOMIC_POSITIONS crystal
O 0.2141 0.9315 0.3223
O 0.7859 0.0685 0.6777
O 0.7487 0.6777 0.0176
O 0.1925 0.9200 0.8010
O 0.8075 0.0800 0.1990
O 0.2513 0.3223 0.9824
O 0.2135 0.3004 0.4835
O 0.7865 0.6996 0.5165
Ac 0.6082 0.3359 0.3059
Ac 0.3918 0.6641 0.6941
Nb 0.0000 0.0000 0.0000
Cr 0.0000 0.0000 0.5000
CELL_PARAMETERS angstrom
-1.8741 -1.8583 -4.9625
6.0836 -0.9628 0.6508
0.2162 -5.0260 3.3750
```

Properties
Space-group type: No. 2
Raw total energy: -8.02 eV per atom